Computed, not measured: a relaxed HfAg crystal at the PBE-GGA level of DFT.

Calculated values
- E (Ha/atom) = -0.2147
- Fermi-level density of states (states/eV per cell) = 8.82
- formation energy (eV/f.u.) = 1.12

Cell lengths 5.617, 5.617, 5.617 Å; angles 90.00, 90.00, 90.00 degrees
Space group Fm-3m (No. 225)
Symmetry-distinct sites (fractional):
Hf1 0.000 0.000 0.000
Ag1 0.000 0.000 0.500